1.
A geometry-optimized Sc2FeBPb structure. Source: Alexandria, functional PBE-GGA.

It has space group P4/mmm (No. 123), with a = 4.7162 Å, b = 4.7162 Å, c = 3.9204 Å, α = 90.00°, β = 90.00° and γ = 90.00°. The distinct sites, in fractional coordinates, are Sc at (0.0000, 0.5000, 0.0000), Fe at (0.0000, 0.0000, 0.5000), B at (0.0000, 0.0000, 0.0000) and Pb at (0.5000, 0.5000, 0.5000).

As for the density of states at the Fermi level: 0.572 states/eV per atom. The calculated formation energy is -0.277 eV per atom. Its calculated volume is 87 Å³/f.u.

***

2.
A geometry-optimized FeSi2BPb structure. Source: Alexandria, functional PBE-GGA.

It has space group P4/mmm (No. 123), with a = 4.5930 Å, b = 4.5930 Å, c = 3.9305 Å, α = 90.00°, β = 90.00° and γ = 90.00°. The distinct sites, in fractional coordinates, are Fe at (0.0000, 0.0000, 0.0000), Si at (0.0000, 0.5000, 0.0000), B at (0.0000, 0.0000, 0.5000) and Pb at (0.5000, 0.5000, 0.5000).

As for the density of states at the Fermi level: 0.769 states/eV per atom. Its calculated volume is 83 Å³/f.u. The calculation puts the raw formation energy at 0.6058 eV per atom.

***

3.
A geometry-optimized Fe2BTePb structure. Source: Alexandria, functional PBE-GGA.

It has space group P4/mmm (No. 123), with a = 4.2824 Å, b = 4.2824 Å, c = 5.1234 Å, α = 90.00°, β = 90.00° and γ = 90.00°. The distinct sites, in fractional coordinates, are Fe at (0.0000, 0.5000, 0.0000), B at (0.0000, 0.0000, 0.0000), Te at (0.5000, 0.5000, 0.5000) and Pb at (0.0000, 0.0000, 0.5000).

As for the density of states at the Fermi level: 1.454 states/eV per atom. Its calculated volume is 94 Å³/f.u. The calculation puts the raw formation energy at 0.7613 eV per atom.

***

4.
A geometry-optimized FeBPd3 structure. Source: Alexandria, functional PBE-GGA.

It has space group Pm-3m (No. 221), with a = 4.5829 Å, b = 4.5829 Å, c = 4.5829 Å, α = 90.00°, β = 90.00° and γ = 90.00°. The distinct sites, in fractional coordinates, are Fe at (0.0000, 0.0000, 0.0000), B at (0.5000, 0.5000, 0.5000) and Pd at (0.0000, 0.0000, 0.5000).

As for the density of states at the Fermi level: 1.025 states/eV per atom. The calculated formation energy is 1.598 eV per atom. Its calculated volume is 96 Å³/f.u.

***

5.
A geometry-optimized FeBPd2 structure. Source: Alexandria, functional PBE-GGA.

It has space group I-42d (No. 122), with a = 6.8770 Å, b = 6.8770 Å, c = 4.5793 Å, α = 90.00°, β = 90.00° and γ = 90.00°. The distinct sites, in fractional coordinates, are Fe at (0.0000, 0.0000, 0.0000), B at (0.0000, 0.0000, 0.5000) and Pd at (0.1461, 0.2500, 0.6250).

As for the density of states at the Fermi level: 0.682 states/eV per atom. The calculated formation energy is 0.136 eV per atom. Its calculated volume is 54 Å³/f.u.

***

6.
A geometry-optimized Fe2BPd structure. Source: Alexandria, functional PBE-GGA.

It has space group I-42d (No. 122), with a = 3.3374 Å, b = 3.3374 Å, c = 17.1900 Å, α = 90.00°, β = 90.00° and γ = 90.00°. The distinct sites, in fractional coordinates, are Fe at (0.2229, 0.2500, 0.1250), B at (0.0000, 0.0000, 0.0000) and Pd at (0.0000, 0.0000, 0.5000).

As for the density of states at the Fermi level: 0.753 states/eV per atom. The calculated formation energy is 0.561 eV per atom. Its calculated volume is 48 Å³/f.u.

***

7.
A geometry-optimized FeB2Pd structure. Source: Alexandria, functional PBE-GGA.

It has space group I-42d (No. 122), with a = 4.5778 Å, b = 4.5778 Å, c = 9.1932 Å, α = 90.00°, β = 90.00° and γ = 90.00°. The distinct sites, in fractional coordinates, are Fe at (0.0000, 0.0000, 0.0000), B at (0.2139, 0.2500, 0.1250) and Pd at (0.0000, 0.0000, 0.5000).

As for the density of states at the Fermi level: 0.027 states/eV per atom. The calculated formation energy is 0.517 eV per atom. For the energy above the lowest structure with this stoichiometry, the calculation gives 185 meV/atom. Its calculated volume is 48 Å³/f.u.

***

8.
A geometry-optimized FeB2Pd structure. Source: Alexandria, functional PBE-GGA.

It has space group Fm-3m (No. 225), with a = 5.2687 Å, b = 5.2687 Å, c = 5.2687 Å, α = 90.00°, β = 90.00° and γ = 90.00°. The distinct sites, in fractional coordinates, are Fe at (0.0000, 0.0000, 0.0000), B at (0.2500, 0.2500, 0.2500) and Pd at (0.0000, 0.0000, 0.5000).

As for the density of states at the Fermi level: 0.551 states/eV per atom. The calculated formation energy is 0.331 eV per atom. For the energy above the lowest structure with this stoichiometry, the calculation gives 0 meV/atom. Its calculated volume is 37 Å³/f.u.